No. 1
Er3MgCd7 | Alexandria via LeMat-Bulk | PBE-GGA | relaxed; DFT formation energy = -105 meV/atom; SG = Cmcm (63); uncorrected energy = -45.68 eV/cell
1.0
1.786 -10.969 0.000
1.786 10.969 0.000
0.000 0.000 14.161
Er Mg Cd
6 2 14
direct
0.122 0.878 0.550
0.122 0.878 0.950
0.255 0.745 0.250
0.745 0.255 0.750
0.878 0.122 0.050
0.878 0.122 0.450
0.028 0.972 0.250
0.972 0.028 0.750
0.264 0.736 0.574
0.264 0.736 0.926
0.378 0.622 0.649
0.378 0.622 0.851
0.399 0.601 0.250
0.495 0.505 0.096
0.495 0.505 0.404
0.505 0.495 0.596
0.505 0.495 0.904
0.601 0.399 0.750
0.622 0.378 0.149
0.622 0.378 0.351
0.736 0.264 0.074
0.736 0.264 0.426

---

No. 2
Rb2ErMg3F12 | Alexandria via LeMat-Bulk | PBE-GGA | relaxed; SG = R-3m (166); E_form (uncorrected) = -3.297 eV per atom; uncorrected energy = -93.08 eV/cell
1.0
3.745 2.162 6.237
-3.745 2.162 6.237
0.000 -4.324 6.237
Rb Er Mg F
2 1 3 12
direct
0.118 0.118 0.118
0.882 0.882 0.882
0.500 0.500 0.500
0.000 0.500 0.500
0.500 0.000 0.500
0.500 0.500 0.000
0.156 0.581 0.581
0.189 0.189 0.575
0.189 0.575 0.189
0.419 0.419 0.844
0.419 0.844 0.419
0.425 0.811 0.811
0.575 0.189 0.189
0.581 0.156 0.581
0.581 0.581 0.156
0.811 0.425 0.811
0.811 0.811 0.425
0.844 0.419 0.419